## MgMnAsSe2 (GGA-PBE)

Data for an optimized crystal structure of MgMnAsSe2.

Magnetization in μB per cell: 2.9
Density of states at the Fermi level in states/eV/atom: 0.70
Formation energy from raw total energies in eV per atom: 0.022
E in eV/atom: -4.454
Energy above the most stable polymorph in this dataset in meV per atom: 0

abc: 4.9386 4.9386 4.6326
angles: 90.00 90.00 90.00
Each line ends with the local moment (μB).
Element x y z (fractional)
Mg (0.5000, 0.5000, 0.5000)  0.01
Mn (0.0000, 0.0000, 0.0000)  2.98
Se (0.5000, 0.0000, 0.0000)  0.02
Se (0.0000, 0.5000, 0.0000)  0.02
As (0.0000, 0.0000, 0.5000)  -0.18